VASP calculation (PBE) on an optimized crystal structure of AcSmDyPb.

```
AcSmDyPb
1.0
0.000 3.993 3.993
3.993 0.000 3.993
3.993 3.993 0.000
Ac Sm Dy Pb
1 1 1 1
direct
0.000 0.000 0.000
0.750 0.750 0.750
0.250 0.250 0.250
0.500 0.500 0.500
```

Results
- formation enthalpy at 0 K (eV per atom) = -0.0779
- N(E_F) (states/eV/f.u.) = 6.2
- space-group type = F-43m (216)

VASP calculation (PBE) on an optimized crystal structure of NiRuPt2.

```
NiRuPt2
1.0
1.363 0.787 8.801
-1.363 0.787 8.801
0.000 -1.574 8.801
Ni Ru Pt
1 1 2
direct
0.000 0.000 0.000
0.500 0.500 0.500
0.253 0.253 0.253
0.747 0.747 0.747
```

Results
- formation enthalpy at 0 K (eV per atom) = -0.0044
- N(E_F) (states/eV/f.u.) = 4.9
- polymorph energy (0 for the lowest one) (eV/atom) = 0.015
- space-group type = R-3m (166)

VASP calculation (PBE) on an optimized crystal structure of YIn6Pd3.

```
YIn6Pd3
1.0
8.777 0.000 0.000
0.000 4.612 0.000
-1.169 0.000 10.785
Y In Pd
2 12 6
direct
0.063 0.250 0.267
0.937 0.750 0.733
0.100 0.250 0.587
0.133 0.750 0.016
0.304 0.750 0.751
0.309 0.750 0.263
0.409 0.250 0.440
0.443 0.250 0.911
0.557 0.750 0.089
0.591 0.750 0.560
0.691 0.250 0.737
0.696 0.250 0.249
0.867 0.250 0.984
0.900 0.750 0.413
0.130 0.250 0.854
0.229 0.750 0.497
0.384 0.250 0.153
0.616 0.750 0.847
0.771 0.250 0.503
0.870 0.750 0.146
```

Results
- formation enthalpy at 0 K (eV per atom) = -0.4377
- N(E_F) (states/eV/f.u.) = 4.7
- space-group type = P2_1/m (11)

VASP calculation (PBE) on an optimized crystal structure of Ce2PmAl.

```
Ce2PmAl
1.0
6.412 0.000 0.000
0.000 4.988 0.000
-0.011 0.000 6.758
Ce Pm Al
4 2 2
direct
0.032 0.250 0.392
0.467 0.250 0.393
0.533 0.750 0.607
0.968 0.750 0.608
0.251 0.250 0.903
0.749 0.750 0.097
0.249 0.750 0.191
0.751 0.250 0.809
```

Results
- formation enthalpy at 0 K (eV per atom) = -0.1724
- N(E_F) (states/eV/f.u.) = 9.0
- polymorph energy (0 for the lowest one) (eV/atom) = 0.000
- space-group type = P2_1/m (11)

VASP calculation (PBE) on an optimized crystal structure of PmSmTeP.

```
PmSmTeP
1.0
2.086 1.204 7.434
-2.086 1.204 7.434
0.000 -2.409 7.434
Pm Sm Te P
1 1 1 1
direct
0.000 0.000 0.000
0.193 0.193 0.193
0.430 0.430 0.430
0.597 0.597 0.597
```

Results
- VASP energy (hartree per atom) = -0.222
- N(E_F) (states/eV/f.u.) = 2.7
- space-group type = R3m (160)

VASP calculation (PBE) on an optimized crystal structure of Y2HPdRu.

```
Y2HPdRu
1.0
4.857 0.000 0.000
0.000 4.857 0.000
0.000 0.000 3.644
Y H Pd Ru
2 1 1 1
direct
0.000 0.500 0.000
0.500 0.000 0.000
0.000 0.000 0.000
0.000 0.000 0.500
0.500 0.500 0.500
```

Results
- N(E_F) (states/eV/f.u.) = 2.4
- polymorph energy (0 for the lowest one) (eV/atom) = 0.081
- space-group type = P4/mmm (123)